# 1
{"formula": "KPu4Cu3Se12", "functional": "GGA-PBE", "state": "relaxed", "dos_ef_per_ev_cell": 37.60, "magmom_total_mub_per_fu": 17.62, "formation_energy_uncorrected_ev_per_atom": -0.731, "final_energy_ry_per_atom": -0.4673, "cell": [[8.867, 0.000, 0.000], [-2.956, 8.360, 0.000], [-2.956, -4.180, 7.240]], "species": ["Se", "Se", "Se", "Se", "Se", "Se", "Se", "Se", "Se", "Se", "Se", "Se", "Pu", "Pu", "Pu", "Pu", "Cu", "Cu", "Cu", "K"], "fractional_positions": [[0.487, 0.326, 0.161], [0.326, 0.839, 0.165], [0.674, 0.839, 0.513], [0.839, 0.513, 0.674], [0.165, 0.326, 0.839], [0.835, 0.674, 0.161], [0.326, 0.161, 0.487], [0.161, 0.487, 0.326], [0.674, 0.161, 0.835], [0.839, 0.165, 0.326], [0.513, 0.674, 0.839], [0.161, 0.835, 0.674], [0.500, 0.000, 0.000], [0.000, 0.000, 0.500], [0.500, 0.500, 0.500], [0.000, 0.500, 0.000], [0.500, 0.000, 0.500], [0.500, 0.500, 0.000], [0.000, 0.500, 0.500], [0.000, 0.000, 0.000]]}


# 2
{"formula": "KPuCu2Te4", "functional": "GGA-PBE", "state": "relaxed", "dos_ef_per_ev_cell": 16.46, "magmom_total_mub_per_fu": 5.28, "formation_energy_uncorrected_ev_per_atom": -0.347, "final_energy_ry_per_atom": -0.3580, "cell": [[-6.242, 1.155, 1.162], [-3.218, -3.881, 4.494], [-1.629, 4.017, 5.179]], "species": ["Cu", "Cu", "Te", "Te", "Te", "Te", "Pu", "K"], "fractional_positions": [[0.149, 0.351, 0.351], [0.851, 0.649, 0.649], [0.500, 0.500, 0.000], [0.000, 0.000, 0.500], [0.000, 0.500, 0.000], [0.500, 0.000, 0.500], [0.500, 0.500, 0.500], [0.000, 0.000, 0.000]]}


# 3
{"formula": "KPu2CuTe4", "functional": "GGA-PBE", "state": "relaxed", "dos_ef_per_ev_cell": 49.24, "magmom_total_mub_per_fu": 10.00, "formation_energy_uncorrected_ev_per_atom": -0.901, "final_energy_ry_per_atom": -0.4927, "cell": [[4.429, 0.000, 0.000], [-2.214, 7.615, 0.000], [0.000, 0.000, 15.405]], "species": ["K", "K", "Te", "Te", "Te", "Te", "Te", "Te", "Te", "Te", "Pu", "Pu", "Pu", "Pu", "Cu", "Cu"], "fractional_positions": [[0.888, 0.777, 0.250], [0.112, 0.223, 0.750], [0.565, 0.131, 0.250], [0.435, 0.869, 0.750], [0.000, 0.000, 0.000], [0.266, 0.532, 0.386], [0.000, 0.000, 0.500], [0.266, 0.532, 0.114], [0.734, 0.468, 0.886], [0.734, 0.468, 0.614], [0.366, 0.732, 0.562], [0.634, 0.268, 0.438], [0.366, 0.732, 0.938], [0.634, 0.268, 0.062], [0.160, 0.319, 0.250], [0.840, 0.681, 0.750]]}


# 4
{"formula": "KRb3Cu", "functional": "GGA-PBE", "state": "relaxed", "dos_ef_per_ev_cell": 5.88, "magmom_total_mub_per_fu": 0.00, "formation_enthalpy_0k_mev_per_atom": 655, "polymorph_energy_kcal_per_mol_atoms": 10.198, "final_energy_ry_per_atom": -0.0708, "cell": [[7.790, 0.000, 0.000], [0.000, 7.790, 0.000], [0.000, 0.000, 7.790]], "species": ["Rb", "Rb", "Rb", "K", "Cu"], "fractional_positions": [[0.000, 0.500, 0.000], [0.500, 0.000, 0.000], [0.000, 0.000, 0.500], [0.000, 0.000, 0.000], [0.500, 0.500, 0.500]]}


# 5
{"formula": "KRb2Cu", "functional": "GGA-PBE", "state": "relaxed", "dos_ef_per_ev_cell": 1.96, "magmom_total_mub_per_fu": 0.00, "formation_enthalpy_0k_mev_per_atom": 294, "polymorph_energy_kcal_per_mol_atoms": 0.000, "final_energy_ry_per_atom": -0.1094, "cell": [[-1.427, -10.325, -5.977], [-2.488, -5.630, 10.319], [-5.308, -7.270, 1.749]], "species": ["Cu", "Cu", "K", "K", "Rb", "Rb", "Rb", "Rb"], "fractional_positions": [[0.000, 0.000, 0.000], [0.750, 0.250, 0.500], [0.250, 0.750, 0.500], [0.500, 0.500, 0.000], [0.002, 0.625, 0.250], [0.375, 0.252, 0.750], [0.748, 0.125, 0.250], [0.875, 0.998, 0.750]]}


# 6
{"formula": "K3RbCu", "functional": "GGA-PBE", "state": "relaxed", "dos_ef_per_ev_cell": 6.76, "magmom_total_mub_per_fu": 0.00, "formation_enthalpy_0k_mev_per_atom": 741, "polymorph_energy_kcal_per_mol_atoms": 12.486, "final_energy_ry_per_atom": -0.0684, "cell": [[7.635, 0.000, 0.000], [0.000, 7.635, 0.000], [0.000, 0.000, 7.635]], "species": ["Rb", "Cu", "K", "K", "K"], "fractional_positions": [[0.000, 0.000, 0.000], [0.500, 0.500, 0.500], [0.500, 0.000, 0.000], [0.000, 0.500, 0.000], [0.000, 0.000, 0.500]]}


# 7
{"formula": "K3RbCu", "functional": "GGA-PBE", "state": "relaxed", "dos_ef_per_ev_cell": 4.02, "magmom_total_mub_per_fu": 0.00, "formation_enthalpy_0k_mev_per_atom": 200, "polymorph_energy_kcal_per_mol_atoms": 0.000, "final_energy_ry_per_atom": -0.1082, "cell": [[6.717, 0.000, 0.000], [0.000, 6.717, 0.000], [0.000, 0.000, 6.717]], "species": ["K", "K", "K", "Rb", "Cu"], "fractional_positions": [[0.000, 0.000, 0.500], [0.500, 0.000, 0.000], [0.000, 0.500, 0.000], [0.500, 0.500, 0.500], [0.000, 0.000, 0.000]]}


# 8
{"formula": "K2Rb4Cu", "functional": "GGA-PBE", "state": "relaxed", "dos_ef_per_ev_cell": 5.50, "magmom_total_mub_per_fu": 0.00, "formation_enthalpy_0k_mev_per_atom": 186, "final_energy_ry_per_atom": -0.0930, "cell": [[6.827, 0.000, 0.000], [0.000, 6.827, 0.000], [-3.414, -3.414, 11.536]], "species": ["Cu", "Rb", "Rb", "Rb", "Rb", "K", "K"], "fractional_positions": [[0.000, 0.000, 0.000], [0.153, 0.153, 0.305], [0.500, 0.000, 0.000], [0.847, 0.847, 0.695], [0.000, 0.500, 0.000], [0.653, 0.653, 0.305], [0.347, 0.347, 0.695]]}


# 9
{"formula": "KRb3Cu", "functional": "GGA-PBE", "state": "relaxed", "dos_ef_per_ev_cell": 6.13, "magmom_total_mub_per_fu": 0.00, "formation_enthalpy_0k_mev_per_atom": 213, "polymorph_energy_kcal_per_mol_atoms": 0.000, "final_energy_ry_per_atom": -0.1034, "cell": [[-6.745, 1.795, -0.140], [-0.165, -1.158, -6.882], [-1.793, -6.646, 1.161]], "species": ["Cu", "K", "Rb", "Rb", "Rb"], "fractional_positions": [[0.000, 0.000, 0.000], [0.500, 0.500, 0.500], [0.500, 0.000, 0.000], [0.000, 0.500, 0.000], [0.000, 0.000, 0.500]]}


# 10
{"formula": "KRb2Cu", "functional": "GGA-PBE", "state": "relaxed", "dos_ef_per_ev_cell": 2.22, "magmom_total_mub_per_fu": 0.00, "formation_enthalpy_0k_mev_per_atom": 357, "polymorph_energy_kcal_per_mol_atoms": 1.451, "final_energy_ry_per_atom": -0.1047, "cell": [[-4.887, -2.335, 3.760], [-5.371, -2.594, -2.811], [-1.087, -6.495, 0.335]], "species": ["Rb", "Rb", "K", "Cu"], "fractional_positions": [[0.750, 0.750, 0.750], [0.250, 0.250, 0.250], [0.000, 0.000, 0.000], [0.500, 0.500, 0.500]]}


# 11
{"formula": "KRb2Cu2", "functional": "GGA-PBE", "state": "relaxed", "dos_ef_per_ev_cell": 3.68, "magmom_total_mub_per_fu": 0.00, "formation_enthalpy_0k_mev_per_atom": 423, "final_energy_ry_per_atom": -0.1339, "cell": [[-2.031, 0.071, -5.118], [4.584, -2.425, -1.853], [-1.638, -7.501, -2.416]], "species": ["Cu", "Cu", "Rb", "Rb", "K"], "fractional_positions": [[0.414, 0.414, 0.171], [0.586, 0.586, 0.829], [0.250, 0.750, 0.500], [0.750, 0.250, 0.500], [0.000, 0.000, 0.000]]}


# 12
{"formula": "KRbCu2Rh", "functional": "GGA-PBE", "state": "relaxed", "dos_ef_per_ev_cell": 6.58, "magmom_total_mub_per_fu": 0.05, "formation_enthalpy_0k_mev_per_atom": 1756, "final_energy_ry_per_atom": -0.1298, "cell": [[5.381, 0.000, 0.000], [0.000, 5.746, 0.000], [0.000, 0.000, 5.381]], "species": ["Cu", "Cu", "K", "Rb", "Rh"], "fractional_positions": [[0.500, 0.000, 0.000], [0.000, 0.000, 0.500], [0.000, 0.500, 0.000], [0.000, 0.000, 0.000], [0.500, 0.500, 0.500]]}